Entry 1:
VASP calculation (SCAN) on a PBEsol-optimized structure of Rb2MgO2.

Properties
Calculated density in g/cm³: 3.5
Volume in Å³/atom: 21.32
Total magnetization in μB/f.u.: 0.08
D(E_F) in states/eV per atom: 0.00
Raw formation energy in eV per atom: -1.812

The structure in POSCAR format:
```
Rb2MgO2
1.0
9.7039 0.0000 0.0000
0.0000 6.3835 0.0000
-7.9523 0.0000 13.7673
Rb Mg O
16 8 16
Direct
0.0725 0.0619 0.1237
0.0725 0.4381 0.6237
0.1832 0.5794 0.2649
0.1832 0.9206 0.7649
0.3488 0.6617 0.5342
0.3488 0.8383 0.0342
0.4199 0.1204 0.6690
0.4199 0.3796 0.1690
0.5801 0.6204 0.8310
0.5801 0.8796 0.3310
0.6512 0.1617 0.9658
0.6512 0.3383 0.4658
0.8168 0.0794 0.2351
0.8168 0.4206 0.7351
0.9275 0.5619 0.3763
0.9275 0.9381 0.8763
0.0871 0.0471 0.4601
0.0871 0.4529 0.9601
0.2596 0.1221 0.3762
0.2596 0.3779 0.8762
0.7404 0.6221 0.1238
0.7404 0.8779 0.6238
0.9129 0.5471 0.0399
0.9129 0.9529 0.5399
0.1159 0.6054 0.8585
0.1159 0.8946 0.3585
0.1323 0.6298 0.0746
0.1323 0.8702 0.5746
0.2419 0.2284 0.9765
0.2419 0.2716 0.4765
0.3604 0.1909 0.3046
0.3604 0.3091 0.8046
0.6396 0.6909 0.1954
0.6396 0.8091 0.6954
0.7581 0.7284 0.5235
0.7581 0.7716 0.0235
0.8677 0.1298 0.4254
0.8677 0.3702 0.9254
0.8841 0.1054 0.6415
0.8841 0.3946 0.1415
```



Entry 2:
VASP calculation (SCAN) on a PBEsol-optimized structure of MgRe3O.

Properties
Calculated density in g/cm³: 11.3
Volume in Å³/atom: 17.66
Total magnetization in μB/f.u.: 3.68
D(E_F) in states/eV per atom: 1.18
Raw formation energy in eV per atom: 3.517

The structure in POSCAR format:
```
MgRe3O
1.0
4.4531 0.0000 0.0000
0.0000 4.4531 0.0000
0.0000 0.0000 4.4531
Mg Re O
1 3 1
Direct
0.0000 0.0000 0.0000
0.0000 0.0000 0.5000
0.0000 0.5000 0.0000
0.5000 0.0000 0.0000
0.5000 0.5000 0.5000
```



Entry 3:
VASP calculation (SCAN) on a PBEsol-optimized structure of Sr3MgRhO6.

Properties
Calculated density in g/cm³: 5.6
Volume in Å³/atom: 13.22
Total magnetization in μB/f.u.: 1.01
D(E_F) in states/eV per atom: 0.49
Raw formation energy in eV per atom: -2.550

The structure in POSCAR format:
```
Sr3MgRhO6
1.0
4.7897 2.7653 3.6588
-4.7897 2.7653 3.6588
0.0000 -5.5306 3.6588
Sr Mg Rh O
6 2 2 12
Direct
0.1156 0.7500 0.3844
0.2500 0.6156 0.8844
0.3844 0.1156 0.7500
0.6156 0.8844 0.2500
0.7500 0.3844 0.1156
0.8844 0.2500 0.6156
0.2500 0.2500 0.2500
0.7500 0.7500 0.7500
0.0000 0.0000 0.0000
0.5000 0.5000 0.5000
0.0380 0.9071 0.7136
0.0929 0.2864 0.9620
0.2136 0.4071 0.5380
0.2864 0.9620 0.0929
0.4071 0.5380 0.2136
0.4620 0.7864 0.5929
0.5380 0.2136 0.4071
0.5929 0.4620 0.7864
0.7136 0.0380 0.9071
0.7864 0.5929 0.4620
0.9071 0.7136 0.0380
0.9620 0.0929 0.2864
```



Entry 4:
VASP calculation (SCAN) on a PBEsol-optimized structure of MgRu2O.

Properties
Calculated density in g/cm³: 8.0
Volume in Å³/atom: 12.53
Total magnetization in μB/f.u.: 0.00
D(E_F) in states/eV per atom: 0.94
Raw formation energy in eV per atom: 0.906

The structure in POSCAR format:
```
MgRu2O
1.0
5.8533 0.0000 0.0000
0.0000 5.8533 0.0000
0.0000 0.0000 5.8533
Mg Ru O
4 8 4
Direct
0.0000 0.0000 0.0000
0.0000 0.5000 0.5000
0.5000 0.0000 0.5000
0.5000 0.5000 0.0000
0.2500 0.2500 0.2500
0.2500 0.2500 0.7500
0.2500 0.7500 0.2500
0.2500 0.7500 0.7500
0.7500 0.2500 0.2500
0.7500 0.2500 0.7500
0.7500 0.7500 0.2500
0.7500 0.7500 0.7500
0.0000 0.0000 0.5000
0.0000 0.5000 0.0000
0.5000 0.0000 0.0000
0.5000 0.5000 0.5000
```



Question: What is the formula in the fourth record?
Answer: MgRu2O



Question: Look up the volume of the first one.
Answer: 21.32 Å³/atom